No. 1
# Ac2SbN (PBE, relaxed)
# relative energy among the computed polymorphs	0.000	eV/atom
# total DFT energy (no corrections)	-6.242	eV per atom
# formation energy (no corrections)	-4.30	eV per formula unit
data_Ac2SbN
_space_group_name_H-M_alt 'C c c m'
_space_group_IT_number 66
_space_group_name_Hall '-C 2 2c'
_cell_length_a 6.0394
_cell_length_b 13.5156
_cell_length_c 6.3398
_cell_angle_alpha 90.00
_cell_angle_beta 90.00
_cell_angle_gamma 90.00
loop_
_atom_site_label
_atom_site_type_symbol
_atom_site_fract_x
_atom_site_fract_y
_atom_site_fract_z
Ac1 Ac 0.1945 0.1071 0.0000
Sb1 Sb 0.2500 0.2500 0.5000
N1 N 0.0000 0.0000 0.2500



No. 2
# ErTiCr4 (PBE, relaxed)
# total DFT energy (no corrections)	-8.340	eV per atom
# E_form	0.15	eV per atom
data_ErTiCr4
_space_group_name_H-M_alt 'F -4 3 m'
_space_group_IT_number 216
_space_group_name_Hall 'F -4 2 3'
_cell_length_a 7.0955
_cell_length_b 7.0955
_cell_length_c 7.0955
_cell_angle_alpha 90.00
_cell_angle_beta 90.00
_cell_angle_gamma 90.00
loop_
_atom_site_label
_atom_site_type_symbol
_atom_site_fract_x
_atom_site_fract_y
_atom_site_fract_z
Er1 Er 0.0000 0.0000 0.0000
Ti1 Ti 0.2500 0.2500 0.7500
Cr1 Cr 0.1250 0.1250 0.3750



No. 3
# Cs4TmU3O12 (PBE, relaxed)
# total DFT energy (no corrections)	-7.880	eV per atom
# formation energy (no corrections)	-56.34	eV per formula unit
data_Cs4TmU3O12
_space_group_name_H-M_alt 'I m -3 m'
_space_group_IT_number 229
_space_group_name_Hall '-I 4 2 3'
_cell_length_a 8.8014
_cell_length_b 8.8014
_cell_length_c 8.8014
_cell_angle_alpha 90.00
_cell_angle_beta 90.00
_cell_angle_gamma 90.00
loop_
_atom_site_label
_atom_site_type_symbol
_atom_site_fract_x
_atom_site_fract_y
_atom_site_fract_z
Cs1 Cs 0.2500 0.2500 0.2500
Tm1 Tm 0.0000 0.0000 0.0000
U1 U 0.0000 0.0000 0.5000
O1 O 0.0000 0.0000 0.2664
O2 O 0.0000 0.2500 0.5000



No. 4
# La4Pu3Te8 (PBE, relaxed)
# total DFT energy (no corrections)	-7.238	eV per atom
# formation energy (no corrections)	-20.73	eV per formula unit
data_La4Pu3Te8
_space_group_name_H-M_alt 'C 1 2/m 1'
_space_group_IT_number 12
_space_group_name_Hall '-C 2y'
_cell_length_a 12.7467
_cell_length_b 12.7600
_cell_length_c 8.9945
_cell_angle_alpha 90.00
_cell_angle_beta 134.70
_cell_angle_gamma 90.00
loop_
_atom_site_label
_atom_site_type_symbol
_atom_site_fract_x
_atom_site_fract_y
_atom_site_fract_z
La1 La 0.0000 0.0000 0.0000
La2 La 0.0000 0.5000 0.5000
La3 La 0.2500 0.2500 0.0000
Pu1 Pu 0.0000 0.0000 0.5000
Pu2 Pu 0.2500 0.2500 0.5000
Te1 Te 0.0000 0.2463 0.5000
Te2 Te 0.0000 0.2556 0.0000
Te3 Te 0.2464 0.5000 0.0051
Te4 Te 0.2483 0.5000 0.4900



Magnetization, record by record: 0.00; 0.00; 1.00; 17.77 μB/f.u.